The following is a DFT calculation (PBE) of Dy11Er9Tm4 after structural relaxation.

Total DFT energy (no corrections): -108.344 eV per cell
Mass density: 8.86 g cm⁻³
Magnetic moment: 0.000 μB per atom
ΔE_f: 51.3 meV per atom

Lattice parameters (Å, degrees): 14.9618 14.9618 3.6084 90.00 90.00 113.03
Sites, in units of the cell vectors:
Dy1 0.0000 0.0000 0.0000
Dy2 0.0446 0.4068 0.0000
Dy3 0.1598 0.8402 0.0000
Dy4 0.2927 0.2927 0.0000
Dy5 0.3678 0.6322 0.0000
Dy6 0.4068 0.0446 0.0000
Dy7 0.5932 0.9554 0.0000
Dy8 0.6322 0.3678 0.0000
Dy9 0.7073 0.7073 0.0000
Dy10 0.8402 0.1598 0.0000
Dy11 0.9554 0.5932 0.0000
Er1 0.0690 0.2145 0.5000
Er2 0.1646 0.6312 0.5000
Er3 0.2145 0.0690 0.5000
Er4 0.3688 0.8354 0.5000
Er5 0.5000 0.5000 0.5000
Er6 0.6312 0.1646 0.5000
Er7 0.7855 0.9310 0.5000
Er8 0.8354 0.3688 0.5000
Er9 0.9310 0.7855 0.5000
Tm1 0.2433 0.4457 0.5000
Tm2 0.4457 0.2433 0.5000
Tm3 0.5543 0.7567 0.5000
Tm4 0.7567 0.5543 0.5000